Entry 1:
Entry from Alexandria via LeMat-Bulk: crystalline TiAlCo at its relaxed geometry (PBE).

Calculated values
Raw total energy: -6.71 eV/atom
Total magnetic moment: 0.000 μB/f.u.

The structure in CIF format:
```
data_TiAlCo
_chemical_formula_sum 'Ti6 Al6 Co6'
_space_group_name_H-M_alt 'R 3 m'
_space_group_IT_number 160
_space_group_name_Hall 'R 3 -2"'
_cell_length_a 4.1158
_cell_length_b 4.1158
_cell_length_c 17.7112
_cell_angle_alpha 90.00
_cell_angle_beta 90.00
_cell_angle_gamma 120.00
loop_
_atom_site_label
_atom_site_fract_x
_atom_site_fract_y
_atom_site_fract_z
Ti1 0.0000 0.0000 0.0000
Ti2 0.0000 0.0000 0.1703
Al1 0.0000 0.0000 0.5854
Al2 0.0000 0.0000 0.7475
Co1 0.0000 0.0000 0.3128
Co2 0.0000 0.0000 0.4485
```

Entry 2:
Entry from Alexandria via LeMat-Bulk: crystalline TiAlCo at its relaxed geometry (PBE).

Calculated values
Raw total energy: -6.48 eV/atom
Total magnetic moment: 1.073 μB/f.u.

The structure in CIF format:
```
data_TiAlCo
_chemical_formula_sum 'Ti3 Al3 Co3'
_space_group_name_H-M_alt 'R 3 m'
_space_group_IT_number 160
_space_group_name_Hall 'R 3 -2"'
_cell_length_a 4.0619
_cell_length_b 4.0619
_cell_length_c 9.8690
_cell_angle_alpha 90.00
_cell_angle_beta 90.00
_cell_angle_gamma 120.00
loop_
_atom_site_label
_atom_site_fract_x
_atom_site_fract_y
_atom_site_fract_z
Ti1 0.0000 0.0000 0.0000
Al1 0.0000 0.0000 0.4993
Co1 0.0000 0.0000 0.7503
```

Entry 3:
Entry from Alexandria via LeMat-Bulk: crystalline Ti2AlCo3 at its relaxed geometry (PBE).

Calculated values
Raw total energy: -7.29 eV/atom
Excess energy over the best structure of this formula in the dataset: 0.009 eV/atom
Total magnetic moment: 1.816 μB/f.u.

The structure in CIF format:
```
data_Ti2AlCo3
_chemical_formula_sum 'Ti2 Al1 Co3'
_space_group_name_H-M_alt 'P 4/m m m'
_space_group_IT_number 123
_space_group_name_Hall '-P 4 2'
_cell_length_a 2.948
_cell_length_b 2.948
_cell_length_c 8.806
_cell_angle_alpha 90.00
_cell_angle_beta 90.00
_cell_angle_gamma 90.00
loop_
_atom_site_label
_atom_site_fract_x
_atom_site_fract_y
_atom_site_fract_z
Ti1 0.000 0.000 0.173
Al1 0.000 0.000 0.500
Co1 0.500 0.500 0.000
Co2 0.500 0.500 0.336
```

Entry 4:
Entry from Alexandria via LeMat-Bulk: crystalline TiAl2Co3 at its relaxed geometry (PBE).

Calculated values
Raw total energy: -6.67 eV/atom
Excess energy over the best structure of this formula in the dataset: 0.028 eV/atom
Total magnetic moment: 0.408 μB/f.u.

The structure in CIF format:
```
data_TiAl2Co3
_chemical_formula_sum 'Ti1 Al2 Co3'
_space_group_name_H-M_alt 'P 4/m m m'
_space_group_IT_number 123
_space_group_name_Hall '-P 4 2'
_cell_length_a 2.936
_cell_length_b 2.936
_cell_length_c 8.469
_cell_angle_alpha 90.00
_cell_angle_beta 90.00
_cell_angle_gamma 90.00
loop_
_atom_site_label
_atom_site_fract_x
_atom_site_fract_y
_atom_site_fract_z
Ti1 0.000 0.000 0.000
Al1 0.000 0.000 0.337
Co1 0.500 0.500 0.167
Co2 0.500 0.500 0.500
```

Table of energy of formation (kcal/mol of atoms), in record order: -10.7, -5.4, -11.1, -12.8